Computed, not measured: Sc2MnCu after structural relaxation at the PBE level of DFT.

abc: 8.873 8.873 8.873
angles: 20.30 20.30 20.30
Last column: magnetic moment on the atom in μB.
Positions (direct):
Cu 0.250 0.250 0.250  -0.02
Mn 0.750 0.750 0.750  3.14
Sc 0.999 0.999 0.999  -0.18
Sc 0.501 0.501 0.501  -0.18

Summary:
Energy of formation = 176 meV per atom
Symmetry = R-3m (166)
Size of the total moment = 2.74 Bohr magnetons per cell

=====

Computed, not measured: Sc2MnCu after structural relaxation at the PBE level of DFT.

abc: 3.187 3.187 7.255
angles: 90.00 90.00 90.00
Last column: magnetic moment on the atom in μB.
Positions (direct):
Cu 0.000 0.000 0.533  0.07
Mn 0.500 0.500 0.711  3.27
Sc 0.000 0.000 0.952  -0.35
Sc 0.500 0.500 0.304  -0.01

Summary:
Energy of formation = 24 meV per atom
Symmetry = P4mm (99)
Size of the total moment = 2.91 Bohr magnetons per cell

=====

Computed, not measured: ScMn2Cu after structural relaxation at the PBE level of DFT.

abc: 8.817 8.817 8.817
angles: 18.87 18.87 18.87
Last column: magnetic moment on the atom in μB.
Positions (direct):
Cu 0.750 0.750 0.750  0.15
Mn 0.006 0.006 0.006  3.23
Mn 0.494 0.494 0.494  3.23
Sc 0.250 0.250 0.250  -0.51

Summary:
Energy of formation = 371 meV per atom
Energy above the lowest structure with this stoichiometry = 0.376 eV/atom
Symmetry = R-3m (166)
Size of the total moment = 6.16 Bohr magnetons per cell

=====

Computed, not measured: ScMn2Cu2 after structural relaxation at the PBE level of DFT.

abc: 3.352 3.352 6.599
angles: 75.29 75.29 90.00
Positions (direct):
Sc 0.000 0.000 0.000
Mn 0.750 0.250 0.500
Mn 0.250 0.750 0.500
Cu 0.400 0.400 0.200
Cu 0.600 0.600 0.800

Summary:
Energy of formation = 203 meV per atom
Energy above the lowest structure with this stoichiometry = 0.063 eV/atom
Symmetry = I4/mmm (139)
Size of the total moment = 0.00 Bohr magnetons per cell

=====

Computed, not measured: ScMn2Cu after structural relaxation at the PBE level of DFT.

abc: 3.037 3.037 6.375
angles: 90.00 90.00 90.00
Last column: magnetic moment on the atom in μB.
Positions (direct):
Cu 0.500 0.500 0.785  0.06
Mn 0.000 0.000 0.009  3.04
Mn 0.500 0.500 0.208  -2.28
Sc 0.000 0.000 0.498  0.29

Summary:
Energy of formation = -6 meV per atom
Energy above the lowest structure with this stoichiometry = 0.000 eV/atom
Symmetry = P4mm (99)
Size of the total moment = 1.22 Bohr magnetons per cell

=====

Computed, not measured: ScMn2Cu after structural relaxation at the PBE level of DFT.

abc: 3.269 4.257 4.310
angles: 90.00 90.00 90.00
Last column: magnetic moment on the atom in μB.
Positions (direct):
Cu 0.000 0.500 0.500  0.02
Mn 0.000 0.000 0.000  -2.70
Mn 0.500 0.500 0.000  3.36
Sc 0.500 0.000 0.500  0.15

Summary:
Energy of formation = 115 meV per atom
Energy above the lowest structure with this stoichiometry = 0.121 eV/atom
Symmetry = Pmmm (47)
Size of the total moment = 0.90 Bohr magnetons per cell